No. 1
Compound: CeDy2Sc
Source: Alexandria via LeMat-Bulk
Functional: PBE
Structure: optimized geometry

Lattice parameters (Å, degrees): 3.338 3.338 12.129 82.09 82.09 60.00
Fractional positions:
Ce 0.000 0.000 0.000
Dy 0.909 0.909 0.272
Sc 0.500 0.500 0.500
Dy 0.091 0.091 0.728

Spin magnetization: 0.15 μB/atom
ΔH_f (0 K): 172 meV per atom
ΔE to the lowest computed polymorph: 97 meV/atom
Space group: R-3m

No. 2
Compound: CeDySc4
Source: Alexandria via LeMat-Bulk
Functional: PBE
Structure: optimized geometry

Lattice parameters (Å, degrees): 3.248 6.227 9.179 90.00 90.00 121.45
Fractional positions:
Ce 0.997 0.001 0.502
Sc 0.498 0.001 0.169
Sc 0.997 0.501 0.336
Sc 0.497 0.001 0.834
Sc 0.998 0.501 0.668
Dy 0.497 0.501 0.002

Spin magnetization: 0.10 μB/atom
ΔH_f (0 K): 63 meV per atom
ΔE to the lowest computed polymorph: 0 meV/atom
Space group: Pmmm

No. 3
Compound: Ce4DySc
Source: Alexandria via LeMat-Bulk
Functional: PBE
Structure: optimized geometry

Lattice parameters (Å, degrees): 6.230 6.230 6.230 60.00 60.00 60.00
Fractional positions:
Sc 0.000 0.000 0.000
Ce 0.628 0.628 0.628
Ce 0.628 0.628 0.116
Ce 0.116 0.628 0.628
Ce 0.628 0.116 0.628
Dy 0.250 0.250 0.250

Spin magnetization: 0.64 μB/atom
ΔH_f (0 K): 242 meV per atom
Space group: F-43m